[1]
# BeAsAu

BeAsAu after structural relaxation (PBE-GGA, Alexandria).

Summary:
- DOS at the Fermi energy (states/eV/f.u.) = 0.90
- DFT formation energy (eV/atom) = 0.028
- space-group type = Pnma, No. 62

a b c (Å): 8.2055 4.0429 5.8359
angles (deg): 90.00 90.00 90.00
With the nearest neighbours (Å) after each atom.
Fractional positions:
As 0.6432 0.7500 0.4973  4 Be 2.44-2.56
As 0.3568 0.2500 0.5027  4 Be 2.44-2.56
As 0.8568 0.2500 0.9973  4 Be 2.44-2.56
As 0.1432 0.7500 0.0027  4 Be 2.44-2.56
Au 0.3763 0.2500 0.0043  4 Be 2.51-2.56, 2 As 2.78
Au 0.1237 0.7500 0.5043  4 Be 2.51-2.56, 2 As 2.78
Au 0.6237 0.7500 0.9957  4 Be 2.51-2.56, 2 As 2.78
Au 0.8763 0.2500 0.4957  4 Be 2.51-2.56, 2 As 2.78
Be 0.6108 0.2500 0.7273  4 As 2.44-2.56, 4 Au 2.51-2.56
Be 0.8892 0.7500 0.2273  4 As 2.44-2.56, 4 Au 2.51-2.56
Be 0.3892 0.7500 0.2727  4 As 2.44-2.56, 4 Au 2.51-2.56
Be 0.1108 0.2500 0.7727  4 As 2.44-2.56, 4 Au 2.51-2.56


[2]
# Ba2InSnH

Ba2InSnH after structural relaxation (PBE-GGA, Alexandria).

Summary:
- DOS at the Fermi energy (states/eV/f.u.) = 2.36
- relative energy among the computed polymorphs (eV per atom) = 0.000
- space-group type = P4/mmm, No. 123

a b c (Å): 5.4986 5.4986 4.9604
angles (deg): 90.00 90.00 90.00
With the nearest neighbours (Å) after each atom.
Fractional positions:
H 0.0000 0.0000 0.0000  2 In 2.48, 4 Ba 2.75
Ba 0.0000 0.5000 0.0000  2 H 2.75
Ba 0.5000 0.0000 0.0000  2 H 2.75
Sn 0.5000 0.5000 0.5000  8 Ba 3.70, 4 In 3.89
In 0.0000 0.0000 0.5000  2 H 2.48


[3]
# Nd4TlAu3

Nd4TlAu3 after structural relaxation (PBE-GGA, Alexandria).

Summary:
- DOS at the Fermi energy (states/eV/f.u.) = 7.25
- relative energy among the computed polymorphs (eV per atom) = 0.000
- DFT formation energy (eV/atom) = -0.658
- space-group type = Pmm2, No. 25

a b c (Å): 3.9148 4.8703 11.5778
angles (deg): 90.00 90.00 90.00
With the nearest neighbours (Å) after each atom.
Fractional positions:
Nd 0.5000 0.5000 0.3712  6 Au 3.15-3.17, 1 Tl 3.33
Nd 0.5000 0.0000 0.6358  7 Au 3.15-3.19
Nd 0.0000 0.5000 0.8510  5 Au 3.09-3.19, 2 Tl 3.33
Nd 0.0000 0.0000 0.1479  3 Au 3.13-3.40, 4 Tl 3.21
Au 0.5000 0.0000 0.9079  7 Nd 3.15-3.40, 2 Tl 3.17
Au 0.0000 0.0000 0.4183  2 Au 3.10, 7 Nd 3.13-3.19
Au 0.0000 0.5000 0.5845  7 Nd 3.09-3.18, 2 Au 3.10
Tl 0.5000 0.5000 0.0835  2 Au 3.17, 7 Nd 3.21-3.33